PBE-GGA AgAsBr, optimized geometry; energy above the most stable polymorph in this dataset = 310 meV/atom
1.0
6.9664 -0.0312 0.0219
5.6897 3.2816 0.0173
1.2767 -1.1308 3.1139
Br As Ag
1 1 1
Cartesian
8.6282 1.6996 1.1275
5.3350 0.4317 2.0173
12.6256 3.2387 0.0475

---

Sc4NiSb2 | PBE-GGA | optimized geometry

Geometry as POSCAR:
```
Sc4NiSb2
1.0
-2.2181 3.6923 1.7999
-3.9778 -2.4410 0.1053
-1.4323 -1.7865 7.9537
Sc Ni Sb
4 1 2
Cartesian
-1.9973 -0.9684 5.5790
-1.1091 1.8461 0.8999
-5.6310 0.4331 4.2798
-1.9889 -1.2205 0.0527
0.0000 0.0000 0.0000
-2.6362 -0.0431 2.8937
-4.9921 -0.4921 6.9652
```

---

Computed raw total energy (eV/atom) in order:
-2.806, -6.206
Computed ΔE_f (raw) (eV per atom) in order:
0.252, -0.585